1.
Computed, not measured: crystalline ErNpOs at its relaxed geometry at the PBE level of DFT.

```
ErNpOs
1.0
0.000 3.302 3.302
3.302 0.000 3.302
3.302 3.302 0.000
Os Np Er
1 1 1
Direct
0.000 0.000 0.000
0.750 0.750 0.750
0.250 0.250 0.250
```

Calculated values
VASP energy in eV per cell: -28.15
Energy of formation from the pure elements in kJ per mole of atoms: 13.2
Volume in Å³/cell: 72.0

2.
Computed, not measured: crystalline ErNpPd at its relaxed geometry at the PBE level of DFT.

```
ErNpPd
1.0
-1.744 -0.560 4.329
-1.856 3.669 2.279
-4.641 0.222 0.711
Np Er Pd
1 1 1
Direct
0.250 0.250 0.250
0.000 0.000 0.000
0.750 0.750 0.750
```

Calculated values
VASP energy in eV per cell: -20.83
Energy of formation from the pure elements in kJ per mole of atoms: 54.0
Volume in Å³/cell: 73.5